[1]
PBEsol KSnSb2P, optimized geometry; space-group type = P4/mmm; crystal system = tetragonal; calculated total energy = -11.7 eV/cell; uncorrected formation energy = 1.727 eV/atom
1.0
-3.5959 3.8672 1.6530
-1.9596 -3.5128 3.9553
3.8137 1.9849 3.6523
Sb K Sn P
2 1 1 1
direct
0.0000 0.0000 0.5000
0.0000 0.5000 0.0000
0.0000 0.0000 0.0000
0.5000 0.0000 0.0000
0.5000 0.5000 0.5000

[2]
PBEsol Al2TeAs, optimized geometry; space-group type = Amm2; crystal system = orthorhombic; calculated total energy = -17.6 eV/cell; uncorrected formation energy = -0.186 eV/atom; energy relative to the lowest polymorph listed for this composition = 0 meV/atom
1.0
4.1318 0.0276 0.0000
-0.6487 4.0807 0.0000
0.0000 0.0000 5.2931
As Te Al
1 1 2
direct
0.6521 0.3479 0.0000
0.1819 0.8181 0.5000
0.0504 0.9496 0.0000
0.6202 0.3798 0.5000